# 1
CrFePt: optimized geometry, GGA-PBE.

Calculated values
* crystal system: trigonal
* symmetry: No. 156

Cell: 2.6806 2.6806 6.3665 Å, 90.00 90.00 120.00°
Closest atoms and distances in Å follow each position.
Positions (direct):
Fe (0.6667, 0.3333, 0.3174)  3 Cr 2.47, 6 Fe 2.68, 3 Pt 2.71
Cr (0.0000, 0.0000, 0.0153)  3 Fe 2.47, 6 Cr 2.68, 3 Pt 2.70
Pt (0.3333, 0.6667, 0.6673)  6 Pt 2.68, 3 Cr 2.70, 3 Fe 2.71

---

# 2
Cr2Fe2Pt: optimized geometry, GGA-PBE.

Calculated values
* crystal system: tetragonal
* symmetry: No. 139

Cell: 3.5877 3.5877 5.5920 Å, 71.29 71.29 90.00°
Closest atoms and distances in Å follow each position.
Positions (direct):
Cr (0.3888, 0.3888, 0.2223)  1 Cr 2.22, 4 Fe 2.27
Cr (0.6112, 0.6112, 0.7777)  1 Cr 2.22, 4 Fe 2.27
Fe (0.2500, 0.7500, 0.5000)  4 Cr 2.27, 4 Fe 2.54
Fe (0.7500, 0.2500, 0.5000)  4 Cr 2.27, 4 Fe 2.54
Pt (0.0000, 0.0000, 0.0000)  8 Cr 2.77, 8 Fe 3.07

---

# 3
Cr2Fe2Pt: optimized geometry, GGA-PBE.

Calculated values
* crystal system: tetragonal
* symmetry: No. 127

Cell: 6.6999 6.6999 2.6549 Å, 90.00 90.00 90.00°
Closest atoms and distances in Å follow each position.
Positions (direct):
Cr (0.6680, 0.8320, 0.5000)  6 Fe 2.34-2.41
Cr (0.8320, 0.3320, 0.5000)  6 Fe 2.34-2.41
Cr (0.1680, 0.6680, 0.5000)  6 Fe 2.34-2.41
Pt (0.5000, 0.5000, 0.0000)  4 Fe 2.63, 2 Pt 2.65, 8 Cr 2.82
Fe (0.8711, 0.6289, 0.0000)  6 Cr 2.34-2.41, 1 Fe 2.44
Pt (0.0000, 0.0000, 0.0000)  4 Fe 2.63, 2 Pt 2.65, 8 Cr 2.82
Fe (0.6289, 0.1289, 0.0000)  6 Cr 2.34-2.41, 1 Fe 2.44
Fe (0.3711, 0.8711, 0.0000)  6 Cr 2.34-2.41, 1 Fe 2.44
Fe (0.1289, 0.3711, 0.0000)  6 Cr 2.34-2.41, 1 Fe 2.44
Cr (0.3320, 0.1680, 0.5000)  6 Fe 2.34-2.41

---

# 4
CrFePt: optimized geometry, GGA-PBE.

Calculated values
* crystal system: hexagonal
* symmetry: No. 187

Cell: 4.1387 4.1387 2.6491 Å, 90.00 90.00 120.00°
Closest atoms and distances in Å follow each position.
Positions (direct):
Fe (0.6667, 0.3333, 0.1670)  3 Cr 2.39, 2 Fe 2.65
Pt (0.3333, 0.6667, 0.6665)  2 Pt 2.65, 6 Fe 2.73, 6 Cr 2.73
Cr (0.0000, 0.0000, 0.1665)  3 Fe 2.39, 2 Cr 2.65

---

# 5
CrFe2Pt: optimized geometry, GGA-PBE.

Calculated values
* crystal system: tetragonal
* symmetry: No. 122

Cell: 3.6507 3.6507 9.0640 Å, 78.38 78.38 90.00°
Closest atoms and distances in Å follow each position.
Positions (direct):
Cr (0.5000, 0.5000, 0.0000)  4 Fe 2.51, 4 Pt 2.58
Pt (0.7500, 0.2500, 0.5000)  4 Fe 2.54, 4 Cr 2.58
Fe (0.8750, 0.8618, 0.7500)  2 Cr 2.51, 4 Fe 2.51-2.65, 2 Pt 2.54
Pt (0.0000, 0.0000, 0.0000)  4 Fe 2.54, 4 Cr 2.58
Fe (0.3750, 0.3882, 0.7500)  2 Cr 2.51, 4 Fe 2.51-2.65, 2 Pt 2.54
Cr (0.2500, 0.7500, 0.5000)  4 Fe 2.51, 4 Pt 2.58
Fe (0.1382, 0.6250, 0.2500)  2 Cr 2.51, 4 Fe 2.51-2.65, 2 Pt 2.54
Fe (0.6118, 0.1250, 0.2500)  2 Cr 2.51, 4 Fe 2.51-2.65, 2 Pt 2.54

---

# 6
CrFe3Pt: optimized geometry, GGA-PBE.

Calculated values
* crystal system: cubic
* symmetry: No. 221

Cell: 4.1565 4.1565 4.1565 Å, 90.00 90.00 90.00°
Closest atoms and distances in Å follow each position.
Positions (direct):
Fe (0.5000, 0.0000, 0.0000)  2 Cr 2.08
Fe (0.0000, 0.5000, 0.0000)  2 Cr 2.08
Fe (0.0000, 0.0000, 0.5000)  2 Cr 2.08
Cr (0.0000, 0.0000, 0.0000)  6 Fe 2.08
Pt (0.5000, 0.5000, 0.5000)  12 Fe 2.94

---

# 7
CrFe2Pt: optimized geometry, GGA-PBE.

Calculated values
* crystal system: tetragonal
* symmetry: No. 139

Cell: 4.5946 4.5946 4.5946 Å, 132.28 132.25 69.81°
Closest atoms and distances in Å follow each position.
Positions (direct):
Fe (0.4999, 0.4999, 0.0000)  4 Fe 2.63, 4 Cr 2.65, 4 Pt 2.65
Pt (0.7500, 0.2500, 0.5000)  4 Cr 2.63, 8 Fe 2.65
Cr (0.2500, 0.7500, 0.5000)  4 Pt 2.63, 8 Fe 2.65
Fe (0.0001, 0.0001, 0.0000)  4 Fe 2.63, 4 Cr 2.65, 4 Pt 2.65

---

# 8
CrFe2Pt: optimized geometry, GGA-PBE.

Calculated values
* crystal system: trigonal
* symmetry: No. 160

Cell: 8.5996 8.5996 8.5996 Å, 17.70 17.70 17.70°
Closest atoms and distances in Å follow each position.
Positions (direct):
Fe (0.2543, 0.2543, 0.2543)  9 Fe 2.56-2.65, 3 Pt 2.71
Fe (0.0021, 0.0021, 0.0021)  3 Cr 2.45, 9 Fe 2.56-2.65
Pt (0.4994, 0.4994, 0.4994)  6 Pt 2.65, 3 Fe 2.71, 3 Cr 2.72
Cr (0.7442, 0.7442, 0.7442)  3 Fe 2.45, 6 Cr 2.65, 3 Pt 2.72

---

# 9
CrFe2Pt: optimized geometry, GGA-PBE.

Calculated values
* crystal system: orthorhombic
* symmetry: No. 47

Cell: 2.6923 3.6412 5.2944 Å, 90.00 90.00 90.00°
Closest atoms and distances in Å follow each position.
Positions (direct):
Fe (0.0000, 0.0000, 0.5171)  3 Fe 2.47-2.69, 4 Cr 2.58, 4 Pt 2.67
Pt (0.5000, 0.5000, 0.2500)  2 Cr 2.65, 8 Fe 2.67, 2 Pt 2.69
Cr (0.5000, 0.5000, 0.7500)  8 Fe 2.58, 2 Pt 2.65, 2 Cr 2.69
Fe (0.0000, 0.0000, 0.9829)  3 Fe 2.47-2.69, 4 Cr 2.58, 4 Pt 2.67

---

# 10
CrFe2Pt: optimized geometry, GGA-PBE.

Calculated values
* crystal system: trigonal
* symmetry: No. 166

Cell: 8.5726 8.5726 8.5726 Å, 17.71 17.71 17.71°
Closest atoms and distances in Å follow each position.
Positions (direct):
Cr (0.7500, 0.7500, 0.7500)  6 Fe 2.50, 6 Cr 2.64
Fe (0.4952, 0.4952, 0.4952)  3 Cr 2.50, 6 Fe 2.64, 3 Pt 2.70
Fe (0.0048, 0.0048, 0.0048)  3 Cr 2.50, 6 Fe 2.64, 3 Pt 2.70
Pt (0.2500, 0.2500, 0.2500)  6 Pt 2.64, 6 Fe 2.70

---

# 11
CrFe2Pt: optimized geometry, GGA-PBE.

Calculated values
* crystal system: cubic
* symmetry: No. 216

Cell: 4.2115 4.2115 4.2115 Å, 60.00 60.00 60.00°
Closest atoms and distances in Å follow each position.
Positions (direct):
Fe (0.2500, 0.2500, 0.2500)  4 Fe 2.58, 4 Cr 2.58
Cr (0.5000, 0.5000, 0.5000)  4 Fe 2.58, 4 Pt 2.58
Pt (0.7500, 0.7500, 0.7500)  4 Cr 2.58, 4 Fe 2.58
Fe (0.0000, 0.0000, 0.0000)  4 Pt 2.58, 4 Fe 2.58

---

# 12
CrFePt: optimized geometry, GGA-PBE.

Calculated values
* crystal system: tetragonal
* symmetry: No. 107

Cell: 5.7857 5.7858 2.6877 Å, 76.57 76.57 26.86°
Closest atoms and distances in Å follow each position.
Positions (direct):
Fe (0.3423, 0.3423, 0.6577)  4 Cr 2.50, 4 Fe 2.69, 4 Pt 2.70
Pt (0.6664, 0.6664, 0.3336)  4 Pt 2.69, 4 Cr 2.70, 4 Fe 2.70
Cr (0.9913, 0.9913, 0.0087)  4 Fe 2.50, 4 Cr 2.69, 4 Pt 2.70

---

| no. | E_tot (Ha/atom) | DOS(E_F) (states/eV/cell) | calculated formation energy (eV/f.u.) |
| --- | --- | --- | --- |
| 1 | -0.29338 | 3.78 | 0.2 |
| 2 | -0.29649 | 4.84 | 1.9 |
| 3 | -0.30954 | 7.50 | 0.1 |
| 4 | -0.29785 | 3.34 | -0.2 |
| 5 | -0.28708 | 9.73 | 1.3 |
| 6 | -0.26497 | 5.37 | 5.0 |
| 7 | -0.30536 | 2.46 | -0.6 |
| 8 | -0.29769 | 3.34 | 0.2 |
| 9 | -0.30188 | 3.34 | -0.3 |
| 10 | -0.29669 | 3.88 | 0.3 |
| 11 | -0.29616 | 4.82 | 0.4 |
| 12 | -0.29692 | 4.38 | -0.1 |